Ba2ZrPdRu: relaxed, PBE-GGA.

size of the total moment	0.00	μB/atom
energy of formation	0.823	eV per atom

Lattice parameters (Å, degrees): 6.401 4.616 6.401 90.00 90.00 90.00
Atoms (fractional coordinates):
Pd  0.500  0.500  0.500
Ba  0.000  0.000  0.500
Ba  0.500  0.000  0.000
Ru  0.000  0.500  0.000
Zr  0.000  0.000  0.000


Al2HgOs: relaxed, PBE-GGA.

size of the total moment	0.00	μB/atom
energy of formation	0.460	eV per atom

Lattice parameters (Å, degrees): 4.087 4.087 9.215 77.19 77.19 90.00
Atoms (fractional coordinates):
Os  0.500  0.500  0.000
Os  0.250  0.750  0.500
Al  0.164  0.625  0.250
Al  0.375  0.414  0.750
Al  0.586  0.125  0.250
Al  0.875  0.836  0.750
Hg  0.000  0.000  0.000
Hg  0.750  0.250  0.500


PrSm2Ho5Er: relaxed, PBE-GGA.

size of the total moment	0.00	μB/atom
energy of formation	0.273	eV per atom

Lattice parameters (Å, degrees): 8.784 8.784 9.811 116.59 116.59 90.00
Atoms (fractional coordinates):
Ho  0.156  0.073  0.729
Ho  0.573  0.656  0.729
Ho  0.427  0.344  0.271
Ho  0.344  0.844  0.271
Ho  0.927  0.427  0.271
Ho  0.000  0.000  0.000
Ho  0.073  0.573  0.729
Ho  0.656  0.156  0.729
Ho  0.500  0.500  0.000
Ho  0.844  0.927  0.271
Sm  0.385  0.885  0.000
Sm  0.615  0.115  0.000
Sm  0.115  0.385  0.000
Sm  0.885  0.615  0.000
Pr  0.750  0.750  0.500
Pr  0.250  0.250  0.500
Er  0.750  0.250  0.500
Er  0.250  0.750  0.500